# 1
## Pr5Y12Tm2 (PBE-GGA)

Data for Pr5Y12Tm2 after structural relaxation.

The structure in extended XYZ format:
```
19
Lattice="6.232 0.000 0.000 -3.110 9.012 0.000 -2.085 -0.739 11.152" Properties=species:S:1:pos:R:3 pbc="T T T"
Pr 0.000 0.000 0.000
Pr -2.085 7.170 5.865
Pr -0.012 2.154 10.567
Pr 1.049 6.119 0.586
Pr 3.121 1.103 5.287
Y -1.043 3.247 1.199
Y -2.076 6.460 2.366
Y -0.011 0.728 3.532
Y 0.010 1.456 7.036
Y -1.032 4.674 8.191
Y -2.074 7.918 9.378
Y 3.111 0.355 1.774
Y 2.069 3.599 2.961
Y 1.027 6.817 4.116
Y 1.047 7.545 7.621
Y 3.113 1.813 8.786
Y 2.080 5.026 9.954
Tm -1.042 3.959 4.705
Tm 2.079 4.314 6.447
```

Total DFT energy (no corrections): -5.7904 eV per atom
E_form: 0.02 eV/atom
Relative energy among the computed polymorphs: 0 meV per atom
Density of states at the Fermi level: 28.23 states/eV/f.u.
SG: No. 2


# 2
## PrYTm2 (PBE-GGA)

Data for PrYTm2 after structural relaxation.

The structure in extended XYZ format:
```
8
Lattice="6.268 0.000 0.000 0.000 5.684 0.000 0.000 0.000 7.298" Properties=species:S:1:pos:R:3 pbc="T T T"
Pr 0.000 0.000 0.000
Pr 2.144 2.842 0.008
Y 2.102 2.842 3.632
Y 3.162 0.000 5.432
Tm 6.267 0.000 3.635
Tm 3.160 0.000 1.859
Tm 5.222 2.842 1.867
Tm 5.246 2.842 5.418
```

Total DFT energy (no corrections): -5.0303 eV per atom
E_form: 0.02 eV/atom
Relative energy among the computed polymorphs: 9 meV per atom
Density of states at the Fermi level: 7.15 states/eV/f.u.
SG: No. 6


# 3
## Pr6YTm4 (PBE-GGA)

Data for Pr6YTm4 after structural relaxation.

The structure in extended XYZ format:
```
11
Lattice="-3.424 3.424 8.171 3.424 -3.424 8.171 3.424 3.424 -8.171" Properties=species:S:1:pos:R:3 pbc="T T T"
Pr 3.424 0.000 0.000
Pr 2.102 -2.102 5.239
Pr 1.323 1.323 2.932
Pr 0.000 3.424 0.000
Pr -2.102 2.102 5.239
Pr 2.102 2.102 11.103
Y 0.000 0.000 0.000
Tm 2.239 2.239 -1.823
Tm 1.186 -1.186 9.994
Tm 1.186 1.186 6.348
Tm -1.186 1.186 9.994
```

Total DFT energy (no corrections): -4.5202 eV per atom
E_form: 0.30 eV/atom
Relative energy among the computed polymorphs: 16 meV per atom
Density of states at the Fermi level: 15.33 states/eV/f.u.
SG: No. 121


# 4
## PrY2Tm (PBE-GGA)

Data for PrY2Tm after structural relaxation.

The structure in extended XYZ format:
```
4
Lattice="1.796 1.037 11.677 -1.796 1.037 11.677 0.000 -2.074 11.677" Properties=species:S:1:pos:R:3 pbc="T T T"
Pr 0.000 0.000 0.000
Y 0.000 0.000 8.690
Y 0.000 0.000 26.341
Tm 0.000 0.000 17.516
```

Total DFT energy (no corrections): -5.5197 eV per atom
E_form: 0.03 eV/atom
Relative energy among the computed polymorphs: 13 meV per atom
Density of states at the Fermi level: 6.12 states/eV/f.u.
SG: No. 166


# 5
## PrY7Tm3 (PBE-GGA)

Data for PrY7Tm3 after structural relaxation.

The structure in extended XYZ format:
```
11
Lattice="-2.898 5.566 5.644 2.898 -5.566 5.644 2.898 5.566 -5.644" Properties=species:S:1:pos:R:3 pbc="T T T"
Pr 0.000 0.000 0.000
Y 2.898 0.000 0.000
Y 2.898 3.327 -2.240
Y 0.000 3.279 0.000
Y 2.898 3.327 2.240
Y 0.000 2.239 3.404
Y 0.000 7.852 0.000
Y 0.000 2.239 7.884
Tm 2.898 0.000 3.337
Tm 0.000 0.000 5.644
Tm 0.000 5.566 2.306
```

Total DFT energy (no corrections): -5.5114 eV per atom
E_form: 0.26 eV/atom
Relative energy among the computed polymorphs: 112 meV per atom
Density of states at the Fermi level: 18.22 states/eV/f.u.
SG: No. 71


# 6
## Pr2Y3Tm2 (PBE-GGA)

Data for Pr2Y3Tm2 after structural relaxation.

The structure in extended XYZ format:
```
7
Lattice="3.586 0.000 0.000 -1.793 7.832 0.000 -0.017 -3.357 8.134" Properties=species:S:1:pos:R:3 pbc="T T T"
Pr -0.001 2.884 1.178
Pr 1.777 1.592 6.956
Y -0.011 3.716 4.644
Y 1.793 0.000 0.000
Y 1.787 0.759 3.491
Tm -0.011 -1.291 5.787
Tm 1.787 5.767 2.348
```

Total DFT energy (no corrections): -5.3920 eV per atom
E_form: 0.02 eV/atom
Relative energy among the computed polymorphs: 0 meV per atom
Density of states at the Fermi level: 9.27 states/eV/f.u.
SG: No. 2


# 7
## PrY12Tm7 (PBE-GGA)

Data for PrY12Tm7 after structural relaxation.

The structure in extended XYZ format:
```
20
Lattice="-5.660 5.660 5.660 5.660 -5.660 5.660 5.660 5.660 -5.660" Properties=species:S:1:pos:R:3 pbc="T T T"
Pr 0.000 0.000 0.000
Y 5.660 2.761 -2.761
Y 5.660 -2.761 2.761
Y 2.761 5.660 -2.761
Y 2.899 2.899 0.000
Y 2.899 0.000 2.899
Y 2.761 -2.761 5.660
Y 5.660 2.761 2.761
Y 0.000 2.899 2.899
Y -2.761 5.660 2.761
Y -2.761 2.761 5.660
Y 2.761 5.660 2.761
Y 2.761 2.761 5.660
Tm 2.830 2.830 -2.830
Tm 2.830 -2.830 2.830
Tm 5.660 0.000 0.000
Tm -2.830 2.830 2.830
Tm 0.000 5.660 0.000
Tm 0.000 0.000 5.660
Tm 2.830 2.830 2.830
```

Total DFT energy (no corrections): -4.9850 eV per atom
E_form: 0.70 eV/atom
Relative energy among the computed polymorphs: 400 meV per atom
Density of states at the Fermi level: 23.83 states/eV/f.u.
SG: No. 229


# 8
## Pr5Y3Tm12 (PBE-GGA)

Data for Pr5Y3Tm12 after structural relaxation.

The structure in extended XYZ format:
```
80
Lattice="-9.355 9.355 9.355 9.355 -9.355 9.355 9.355 9.355 -9.355" Properties=species:S:1:pos:R:3 pbc="T T T"
Pr 0.000 0.000 0.000
Pr 4.677 4.677 -4.677
Pr 4.677 -4.677 4.677
Pr 9.355 0.000 0.000
Pr 14.032 2.339 0.000
Pr 9.355 -4.677 7.016
Pr 7.016 9.355 -4.677
Pr 7.016 0.000 4.677
Pr 4.677 7.016 0.000
Pr 9.355 4.677 2.339
Pr -4.677 4.677 4.677
Pr 0.000 9.355 0.000
Pr 0.000 0.000 9.355
Pr 4.677 4.677 4.677
Pr 0.000 4.677 7.016
Pr 4.677 2.339 9.355
Pr 2.339 9.355 4.677
Pr 2.339 0.000 14.032
Pr 0.000 14.032 2.339
Pr -4.677 7.016 9.355
Y 4.677 2.339 0.000
Y 9.355 4.677 -2.339
Y 2.339 0.000 4.677
Y 11.694 0.000 4.677
Y 0.000 4.677 2.339
Y 4.677 -2.339 9.355
Y 4.677 11.694 0.000
Y 9.355 4.677 7.016
Y -2.339 9.355 4.677
Y 7.016 9.355 4.677
Y 0.000 4.677 11.694
Y 4.677 7.016 9.355
Tm 9.292 -1.501 2.769
Tm 14.096 -1.908 3.177
Tm 2.769 -0.063 1.501
Tm 11.263 6.178 -4.741
Tm 12.124 0.063 1.501
Tm 11.263 -3.177 4.741
Tm 1.501 2.769 -0.063
Tm 12.532 4.614 -1.908
Tm 6.178 4.741 -1.908
Tm 7.854 2.769 0.063
Tm -0.063 1.501 2.769
Tm 4.741 -1.908 6.178
Tm 9.292 7.854 -2.769
Tm 4.741 1.908 3.177
Tm 7.854 -2.769 9.292
Tm 6.178 -4.741 11.263
Tm 3.177 4.741 1.908
Tm 10.856 6.585 0.063
Tm 2.769 9.292 -1.501
Tm 11.263 3.177 4.614
Tm 1.908 3.177 4.741
Tm 2.769 0.063 7.854
Tm 4.741 11.263 -3.177
Tm 9.292 1.501 6.585
Tm 0.063 7.854 2.769
Tm 4.614 -1.908 12.532
Tm 6.585 9.292 1.501
Tm 7.447 6.178 4.614
Tm -1.908 6.178 4.741
Tm 6.585 0.063 10.856
Tm -1.501 2.769 9.292
Tm 6.178 4.614 7.447
Tm 3.177 14.096 -1.908
Tm 1.501 12.124 0.063
Tm 4.614 7.447 6.178
Tm 0.063 1.501 12.124
Tm 4.614 11.263 3.177
Tm 9.418 7.854 6.585
Tm 1.501 6.585 9.292
Tm 3.177 4.614 11.263
Tm -3.177 4.741 11.263
Tm 7.854 6.585 9.418
Tm -1.908 12.532 4.614
Tm -2.769 9.292 7.854
Tm -1.908 3.177 14.096
Tm 6.585 9.418 7.854
Tm -4.741 11.263 6.178
Tm 0.063 10.856 6.585
```

Total DFT energy (no corrections): -3.8220 eV per atom
E_form: 1.03 eV/atom
Density of states at the Fermi level: 35.31 states/eV/f.u.
SG: No. 230


- Which of these has the lowest density of states at the Fermi level?
  PrY2Tm


- Which value of total DFT energy (no corrections) does entry 6 give?
  -5.3920 eV per atom